Record 1
The following is a DFT calculation (PBE) of an optimized crystal structure of Ho3Tm2Al4.

Summary:
The electronic total energy comes out at -0.333 Ry/atom. As for the density of states at the Fermi level: 0.60 states/eV/atom. As for the formation energy from the elements: -3.08 eV/f.u.

Cell lengths 5.0711, 5.0711, 9.6230 Å; angles 90.00, 90.00, 120.00 degrees
Space group P-3m1 (No. 164)
Symmetry-distinct sites (fractional):
1 Ho 0.0000 0.0000 0.0000 x1
2 Ho 0.3333 0.6667 0.5810 x2
3 Tm 0.3333 0.6667 0.2190 x2
4 Al 0.0000 0.0000 0.3496 x2
5 Al 0.3333 0.6667 0.9014 x2

Record 2
The following is a DFT calculation (PBE) of an optimized crystal structure of KEuCdHg.

Summary:
The electronic total energy comes out at -0.245 Ry/atom. As for the density of states at the Fermi level: 2.57 states/eV/atom. As for the formation energy from the elements: -0.74 eV/f.u.

Cell lengths 8.071, 8.071, 8.071 Å; angles 90.00, 90.00, 90.00 degrees
Space group F-43m (No. 216)
Symmetry-distinct sites (fractional):
1 K 0.000 0.000 0.000 x4
2 Eu 0.000 0.000 0.500 x4
3 Cd 0.250 0.250 0.750 x4
4 Hg 0.250 0.250 0.250 x4